No. 1
VASP calculation (GGA-PBE) on a geometry-optimized V2HPtSe structure.

**Energy**: -4.978 eV/atom

Unit cell a=5.0098 b=5.0098 c=4.7880 alpha=90.00 beta=90.00 gamma=90.00
Sites, in units of the cell vectors:
V 0.0000 0.5000 0.0000
V 0.5000 0.0000 0.0000
H 0.0000 0.0000 0.5000
Pt 0.5000 0.5000 0.0000
Se 0.5000 0.5000 0.5000


No. 2
VASP calculation (GGA-PBE) on a geometry-optimized Si2HPt structure.

**ΔE to the lowest computed polymorph**: 1.021 eV per formula unit

Unit cell a=4.1202 b=4.1202 c=4.1202 alpha=60.00 beta=60.00 gamma=60.00
Sites, in units of the cell vectors:
Si 0.2500 0.2500 0.2500
Si 0.7500 0.7500 0.7500
H 0.0000 0.0000 0.0000
Pt 0.5000 0.5000 0.5000


No. 3
VASP calculation (GGA-PBE) on a geometry-optimized Si2HPt2 structure.

**ΔE to the lowest computed polymorph**: 0.000 eV per formula unit

Unit cell a=7.1173 b=7.1173 c=2.8354 alpha=90.00 beta=90.00 gamma=90.00
Sites, in units of the cell vectors:
Si 0.1506 0.3494 0.0000
Si 0.3494 0.8494 0.0000
Si 0.6506 0.1506 0.0000
Si 0.8494 0.6506 0.0000
H 0.0000 0.0000 0.5000
H 0.5000 0.5000 0.5000
Pt 0.1464 0.6464 0.5000
Pt 0.3536 0.1464 0.5000
Pt 0.6464 0.8536 0.5000
Pt 0.8536 0.3536 0.5000